Record 1
The following is a PBE calculation of a relaxed Rb2BeAgCl6 crystal, from OQMD via LeMat-Bulk.

Summary:
Symmetry: No. 225
Calculated total energy, eV for the cell shown: -31.3

Cell lengths 6.9626, 6.9626, 6.9626 Å; angles 60.00, 60.00, 60.00 degrees
Last column: nearest neighbours and their distance in Å.
Positions (direct):
Rb 0.2500 0.2500 0.2500  12 Cl 3.48
Rb 0.7500 0.7500 0.7500  12 Cl 3.48
Be 0.0000 0.0000 0.0000  6 Cl 2.31
Ag 0.5000 0.5000 0.5000  6 Cl 2.61
Cl 0.2346 0.2346 0.7654  1 Be 2.31
Cl 0.2346 0.7654 0.2346  1 Be 2.31
Cl 0.2346 0.7654 0.7654  1 Be 2.31
Cl 0.7654 0.2346 0.2346  1 Be 2.31
Cl 0.7654 0.2346 0.7654  1 Be 2.31
Cl 0.7654 0.7654 0.2346  1 Be 2.31


Record 2
The following is a PBE calculation of a relaxed BeTl2AgCl6 crystal, from OQMD via LeMat-Bulk.

Summary:
Symmetry: No. 225
Calculated total energy, eV for the cell shown: -30.1

Cell lengths 6.9123, 6.9123, 6.9123 Å; angles 60.00, 60.00, 60.00 degrees
Last column: nearest neighbours and their distance in Å.
Positions (direct):
Be 0.0000 0.0000 0.0000  6 Cl 2.29
Tl 0.2500 0.2500 0.2500  12 Cl 3.46
Tl 0.7500 0.7500 0.7500  12 Cl 3.46
Ag 0.5000 0.5000 0.5000  6 Cl 2.59
Cl 0.2347 0.2347 0.7653  1 Be 2.29
Cl 0.2347 0.7653 0.2347  1 Be 2.29
Cl 0.2347 0.7653 0.7653  1 Be 2.29
Cl 0.7653 0.2347 0.2347  1 Be 2.29
Cl 0.7653 0.2347 0.7653  1 Be 2.29
Cl 0.7653 0.7653 0.2347  1 Be 2.29


Record 3
The following is a PBE calculation of a relaxed BeCoAg crystal, from OQMD via LeMat-Bulk.

Summary:
Symmetry: No. 216
Total moment, μB per atom: 0.17
Relative energy among the computed polymorphs, meV/atom: 0.0
Calculated total energy, eV for the cell shown: -12.4

Cell lengths 3.7953, 3.7953, 3.7953 Å; angles 60.00, 60.00, 60.00 degrees
Last column: nearest neighbours and their distance in Å.
Positions (direct):
Be 0.0000 0.0000 0.0000  4 Co 2.32, 4 Ag 2.32
Co 0.2500 0.2500 0.2500  4 Be 2.32
Ag 0.7500 0.7500 0.7500  4 Be 2.32


Record 4
The following is a PBE calculation of a relaxed BeCo2Ag crystal, from OQMD via LeMat-Bulk.

Summary:
Symmetry: No. 216
Total moment, μB per atom: 0.73
Calculated total energy, eV for the cell shown: -19.7

Cell lengths 4.0627, 4.0627, 4.0627 Å; angles 60.00, 60.00, 60.00 degrees
Last column: nearest neighbours and their distance in Å.
Positions (direct):
Be 0.0000 0.0000 0.0000  4 Ag 2.49, 4 Co 2.49
Co 0.2500 0.2500 0.2500  4 Co 2.49, 4 Be 2.49
Co 0.5000 0.5000 0.5000  4 Ag 2.49, 4 Co 2.49
Ag 0.7500 0.7500 0.7500  4 Co 2.49, 4 Be 2.49